Record 1
Below is crystalline ScZnFeB at its relaxed geometry, with properties calculated at the PBE-GGA level.

abc: 5.8414 5.8414 5.8414
angles: 90.00 90.00 90.00
With the nearest neighbours (Å) after each atom.
Element x y z (fractional)
Sc  0.0000  0.0000  0.0000  4 Fe 2.53, 4 Zn 2.53
Sc  0.0000  0.5000  0.5000  4 Fe 2.53, 4 Zn 2.53
Sc  0.5000  0.0000  0.5000  4 Fe 2.53, 4 Zn 2.53
Sc  0.5000  0.5000  0.0000  4 Fe 2.53, 4 Zn 2.53
Zn  0.2500  0.2500  0.2500  4 Sc 2.53, 4 B 2.53
Zn  0.2500  0.7500  0.7500  4 Sc 2.53, 4 B 2.53
Zn  0.7500  0.2500  0.7500  4 Sc 2.53, 4 B 2.53
Zn  0.7500  0.7500  0.2500  4 Sc 2.53, 4 B 2.53
Fe  0.2500  0.2500  0.7500  4 Sc 2.53, 4 B 2.53
Fe  0.2500  0.7500  0.2500  4 Sc 2.53, 4 B 2.53
Fe  0.7500  0.2500  0.2500  4 Sc 2.53, 4 B 2.53
Fe  0.7500  0.7500  0.7500  4 B 2.53, 4 Sc 2.53
B  0.0000  0.0000  0.5000  4 Fe 2.53, 4 Zn 2.53
B  0.0000  0.5000  0.0000  4 Fe 2.53, 4 Zn 2.53
B  0.5000  0.0000  0.0000  4 Fe 2.53, 4 Zn 2.53
B  0.5000  0.5000  0.5000  4 Fe 2.53, 4 Zn 2.53

polymorph energy (0 for the lowest one) = 0.284 eV/atom

Record 2
Below is crystalline Nd3Mg3TlCdGa at its relaxed geometry, with properties calculated at the PBE-GGA level.

abc: 7.6352 7.6352 4.6637
angles: 90.00 90.00 120.00
With the nearest neighbours (Å) after each atom.
Element x y z (fractional)
Nd  0.0968  0.3432  0.0000  2 Ga 3.22, 1 Cd 3.25, 2 Tl 3.30, 4 Mg 3.44-3.60
Nd  0.2464  0.9032  0.0000  2 Ga 3.22, 1 Cd 3.25, 2 Tl 3.30, 4 Mg 3.44-3.60
Nd  0.6568  0.7536  0.0000  2 Ga 3.22, 1 Cd 3.25, 2 Tl 3.30, 4 Mg 3.44-3.60
Mg  0.4272  0.3406  0.5000  1 Ga 2.91, 2 Cd 2.98, 1 Tl 2.99, 2 Mg 3.22
Mg  0.6594  0.0866  0.5000  1 Ga 2.91, 2 Cd 2.98, 1 Tl 2.99, 2 Mg 3.22
Mg  0.9134  0.5728  0.5000  1 Ga 2.91, 2 Cd 2.98, 1 Tl 2.99, 2 Mg 3.22
Tl  0.0000  0.0000  0.5000  3 Mg 2.99, 6 Nd 3.30
Cd  0.6667  0.3333  0.0000  6 Mg 2.98, 3 Nd 3.25
Ga  0.3333  0.6667  0.5000  3 Mg 2.91, 6 Nd 3.22

Record 3
Below is crystalline Ta2BO4 at its relaxed geometry, with properties calculated at the PBE-GGA level.

abc: 5.7197 5.7197 5.7197
angles: 60.00 60.00 60.00
With the nearest neighbours (Å) after each atom.
Element x y z (fractional)
Ta  0.0000  0.0000  0.0000  6 O 2.19
Ta  0.0000  0.0000  0.5000  6 O 2.19
Ta  0.0000  0.5000  0.0000  6 O 2.19
Ta  0.5000  0.0000  0.0000  6 O 2.19
B  0.3750  0.3750  0.3750  4 O 1.48
B  0.6250  0.6250  0.6250  4 O 1.48
O  0.2696  0.2696  0.2696  1 B 1.48
O  0.2696  0.2696  0.6913  1 B 1.48
O  0.2696  0.6913  0.2696  1 B 1.48
O  0.3087  0.7304  0.7304  1 B 1.48
O  0.6913  0.2696  0.2696  1 B 1.48
O  0.7304  0.3087  0.7304  1 B 1.48
O  0.7304  0.7304  0.3087  1 B 1.48
O  0.7304  0.7304  0.7304  1 B 1.48

Record 4
Below is crystalline Pr2Gd2SiI5 at its relaxed geometry, with properties calculated at the PBE-GGA level.

abc: 9.9820 9.9820 9.1478
angles: 102.18 102.18 24.84
With the nearest neighbours (Å) after each atom.
Element x y z (fractional)
Pr  0.0011  0.0011  0.2858  2 Si 2.91, 1 I 3.24
Pr  0.9989  0.9989  0.7142  2 Si 2.91, 1 I 3.24
Gd  0.3557  0.3557  0.4267  1 Si 2.75
Gd  0.6443  0.6443  0.5733  1 Si 2.75
Si  0.5000  0.5000  0.5000  2 Gd 2.75, 4 Pr 2.91
I  0.1685  0.1685  0.8263  2 Gd 3.12, 1 Pr 3.24
I  0.1750  0.1750  0.3418  3 Gd 3.16-3.44, 1 Pr 3.32
I  0.5000  0.5000  0.0000  4 Pr 3.38
I  0.8250  0.8250  0.6582  3 Gd 3.16-3.44, 1 Pr 3.32
I  0.8315  0.8315  0.1737  2 Gd 3.12, 1 Pr 3.24

polymorph energy (0 for the lowest one) = 0.000 eV/atom

Record 5
Below is crystalline YNb2Ge at its relaxed geometry, with properties calculated at the PBE-GGA level.

abc: 6.7974 6.7974 6.7974
angles: 90.00 90.00 90.00
With the nearest neighbours (Å) after each atom.
Element x y z (fractional)
Y  0.0000  0.0000  0.0000  4 Ge 2.94, 4 Nb 2.94
Y  0.0000  0.5000  0.5000  4 Ge 2.94, 4 Nb 2.94
Y  0.5000  0.0000  0.5000  4 Ge 2.94, 4 Nb 2.94
Y  0.5000  0.5000  0.0000  4 Ge 2.94, 4 Nb 2.94
Nb  0.0000  0.0000  0.5000  4 Ge 2.94, 4 Nb 2.94
Nb  0.0000  0.5000  0.0000  4 Ge 2.94, 4 Nb 2.94
Nb  0.2500  0.2500  0.2500  4 Nb 2.94, 4 Y 2.94
Nb  0.2500  0.7500  0.7500  4 Nb 2.94, 4 Y 2.94
Nb  0.5000  0.0000  0.0000  4 Ge 2.94, 4 Nb 2.94
Nb  0.5000  0.5000  0.5000  4 Ge 2.94, 4 Nb 2.94
Nb  0.7500  0.2500  0.7500  4 Nb 2.94, 4 Y 2.94
Nb  0.7500  0.7500  0.2500  4 Nb 2.94, 4 Y 2.94
Ge  0.2500  0.2500  0.7500  4 Nb 2.94, 4 Y 2.94
Ge  0.2500  0.7500  0.2500  4 Nb 2.94, 4 Y 2.94
Ge  0.7500  0.2500  0.2500  4 Nb 2.94, 4 Y 2.94
Ge  0.7500  0.7500  0.7500  4 Nb 2.94, 4 Y 2.94

Record 6
Below is crystalline ZrCuPbW at its relaxed geometry, with properties calculated at the PBE-GGA level.

abc: 6.7217 6.7217 6.7217
angles: 90.00 90.00 90.00
With the nearest neighbours (Å) after each atom.
Element x y z (fractional)
Zr  0.0000  0.0000  0.0000  4 W 2.91, 4 Cu 2.91
Zr  0.0000  0.5000  0.5000  4 W 2.91, 4 Cu 2.91
Zr  0.5000  0.0000  0.5000  4 W 2.91, 4 Cu 2.91
Zr  0.5000  0.5000  0.0000  4 W 2.91, 4 Cu 2.91
Cu  0.2500  0.2500  0.7500  4 Zr 2.91, 4 Pb 2.91
Cu  0.2500  0.7500  0.2500  4 Zr 2.91, 4 Pb 2.91
Cu  0.7500  0.2500  0.2500  4 Zr 2.91, 4 Pb 2.91
Cu  0.7500  0.7500  0.7500  4 Zr 2.91, 4 Pb 2.91
Pb  0.0000  0.0000  0.5000  4 Cu 2.91, 4 W 2.91
Pb  0.0000  0.5000  0.0000  4 Cu 2.91, 4 W 2.91
Pb  0.5000  0.0000  0.0000  4 Cu 2.91, 4 W 2.91
Pb  0.5000  0.5000  0.5000  4 Cu 2.91, 4 W 2.91
W  0.2500  0.2500  0.2500  4 Pb 2.91, 4 Zr 2.91
W  0.2500  0.7500  0.7500  4 Zr 2.91, 4 Pb 2.91
W  0.7500  0.2500  0.7500  4 Zr 2.91, 4 Pb 2.91
W  0.7500  0.7500  0.2500  4 Zr 2.91, 4 Pb 2.91

polymorph energy (0 for the lowest one) = 0.000 eV/atom

| no. | ρ (g cm⁻³) | E (eV for the cell shown) |
| --- | --- | --- |
| 1 | 5.90 | -83.497 |
| 2 | 6.29 | -28.769 |
| 3 | 10.96 | -129.144 |
| 4 | 5.59 | -44.304 |
| 5 | 7.35 | -125.404 |
| 6 | 11.94 | -106.382 |